1.
## MnGaSb (GGA-PBE)

Data for an optimized crystal structure of MnGaSb.

Unit cell a=4.3700 b=4.3700 c=4.3700 alpha=60.00 beta=60.00 gamma=60.00
Last column: magnetic moment on the atom in μB.
Atoms (fractional coordinates):
Sb 0.0000 0.0000 0.0000  -0.06
Mn 0.2500 0.2500 0.2500  2.58
Ga 0.5000 0.5000 0.5000  -0.06

* SG: F-43m
* uncorrected formation energy: 0.3 eV/f.u.

=====

2.
## SrMnGa2Sb (GGA-PBE)

Data for an optimized crystal structure of SrMnGa2Sb.

Unit cell a=4.6656 b=5.4300 c=4.6656 alpha=90.00 beta=90.00 gamma=90.00
Last column: magnetic moment on the atom in μB.
Atoms (fractional coordinates):
Sb 0.5000 0.5000 0.5000  0.18
Mn 0.0000 0.0000 0.0000  2.71
Ga 0.0000 0.0000 0.5000  -0.03
Ga 0.5000 0.0000 0.0000  -0.07
Sr 0.0000 0.5000 0.0000  0.01

* SG: P4/mmm
* uncorrected formation energy: 0.8 eV/f.u.

=====

3.
## MnGa2SbW (GGA-PBE)

Data for an optimized crystal structure of MnGa2SbW.

Unit cell a=5.1264 b=5.1060 c=5.1264 alpha=90.00 beta=90.00 gamma=90.00
Last column: magnetic moment on the atom in μB.
Atoms (fractional coordinates):
Sb 0.0000 0.0000 0.0000  0.02
Mn 0.5000 0.5000 0.5000  -0.57
Ga 0.0000 0.0000 0.5000  -0.01
Ga 0.5000 0.0000 0.0000  -0.02
W 0.0000 0.5000 0.0000  -1.62

* SG: P4/mmm
* uncorrected formation energy: 11.0 eV/f.u.

=====

4.
## Sc4MnGa3 (GGA-PBE)

Data for an optimized crystal structure of Sc4MnGa3.

Unit cell a=4.6648 b=4.6648 c=8.0969 alpha=73.26 beta=73.26 gamma=60.00
Atoms (fractional coordinates):
Sc 0.8789 0.8789 0.3632
Sc 0.3727 0.3727 0.8819
Sc 0.1211 0.1211 0.6368
Sc 0.6273 0.6273 0.1181
Mn 0.0000 0.0000 0.0000
Ga 0.2539 0.2539 0.2384
Ga 0.7461 0.7461 0.7616
Ga 0.5000 0.5000 0.5000

* E_form: -453 meV/atom
* SG: R-3m

=====

5.
## Sc3Mn2Ga6 (GGA-PBE)

Data for an optimized crystal structure of Sc3Mn2Ga6.

Unit cell a=8.0793 b=8.5423 c=10.5782 alpha=90.00 beta=90.00 gamma=90.00
Last column: magnetic moment on the atom in μB.
Atoms (fractional coordinates):
Sc 0.5634 0.9453 0.1389  -0.14
Sc 0.0634 0.5547 0.3611  -0.14
Sc 0.4366 0.4453 0.8611  -0.14
Sc 0.9366 0.0547 0.6389  -0.14
Sc 0.4366 0.0547 0.8611  -0.14
Sc 0.9366 0.4453 0.6389  -0.14
Sc 0.5634 0.5547 0.1389  -0.14
Sc 0.0634 0.9453 0.3611  -0.14
Sc 0.9594 0.7500 0.0636  -0.06
Sc 0.4594 0.7500 0.4364  -0.06
Sc 0.0406 0.2500 0.9364  -0.06
Sc 0.5406 0.2500 0.5636  -0.06
Mn 0.3612 0.7500 0.7341  2.73
Mn 0.8612 0.7500 0.7659  2.73
Mn 0.6388 0.2500 0.2659  2.73
Mn 0.1388 0.2500 0.2341  2.73
Mn 0.3091 0.7500 0.9828  2.03
Mn 0.8091 0.7500 0.5172  2.03
Mn 0.6909 0.2500 0.0172  2.03
Mn 0.1909 0.2500 0.4828  2.03
Ga 0.7061 0.4941 0.4140  -0.04
Ga 0.2061 0.0059 0.0860  -0.04
Ga 0.2939 0.9941 0.5860  -0.04
Ga 0.7939 0.5059 0.9140  -0.04
Ga 0.2061 0.4941 0.0860  -0.04
Ga 0.7061 0.0059 0.4140  -0.04
Ga 0.7939 0.9941 0.9140  -0.04
Ga 0.2939 0.5059 0.5860  -0.04
Ga 0.8831 0.4169 0.1545  -0.05
Ga 0.3831 0.0831 0.3455  -0.05
Ga 0.1169 0.9169 0.8455  -0.05
Ga 0.6169 0.5831 0.6545  -0.05
Ga 0.1169 0.5831 0.8455  -0.05
Ga 0.6169 0.9169 0.6545  -0.05
Ga 0.8831 0.0831 0.1545  -0.05
Ga 0.3831 0.4169 0.3455  -0.05
Ga 0.0935 0.7500 0.5860  -0.05
Ga 0.5935 0.7500 0.9140  -0.05
Ga 0.9065 0.2500 0.4140  -0.05
Ga 0.4065 0.2500 0.0860  -0.05
Ga 0.7787 0.7500 0.2815  -0.02
Ga 0.2787 0.7500 0.2185  -0.02
Ga 0.2213 0.2500 0.7185  -0.02
Ga 0.7213 0.2500 0.7815  -0.02

* E_form: -463 meV/atom
* SG: Pnma

=====

6.
## ScMnGa2 (GGA-PBE)

Data for an optimized crystal structure of ScMnGa2.

Unit cell a=3.9741 b=4.1060 c=4.1060 alpha=90.00 beta=90.00 gamma=90.00
Last column: magnetic moment on the atom in μB.
Atoms (fractional coordinates):
Sc 0.5000 0.5000 0.5000  -0.01
Mn 0.5000 0.0000 0.0000  3.47
Ga 0.0000 0.0000 0.5000  -0.03
Ga 0.0000 0.5000 0.0000  -0.03

* E_form: -311 meV/atom
* SG: P4/mmm